Entry 1:
VASP calculation (PBE-GGA) on a geometry-optimized Ca3Ga structure.

## Properties
**Density of states at the Fermi level**: 1.120 states/eV per atom
**Total DFT energy (no corrections)**: -2.4394 eV per atom
**ΔH_f (0 K)**: -182 meV per atom
**SG**: No. 44

Lattice parameters (Å, degrees): 3.8994 5.6712 6.9157 114.21 106.38 90.00
Fractional positions:
Ca 0.6984 0.1146 0.3968
Ca 0.3016 0.7178 0.6032
Ca 0.5000 0.4165 0.0000
Ga 0.0000 0.9176 0.0000

***

Entry 2:
VASP calculation (PBE-GGA) on a geometry-optimized CaGa2 structure.

## Properties
**Density of states at the Fermi level**: 0.312 states/eV per atom
**Total DFT energy (no corrections)**: -3.1950 eV per atom
**ΔH_f (0 K)**: -510 meV per atom
**SG**: No. 74

Lattice parameters (Å, degrees): 4.5262 5.8073 5.8073 79.01 67.06 67.06
Fractional positions:
Ca 0.4555 0.7945 0.2945
Ca 0.5445 0.2055 0.7055
Ga 0.8386 0.2211 0.1017
Ga 0.8386 0.6017 0.7211
Ga 0.1614 0.3983 0.2789
Ga 0.1614 0.7789 0.8983